## La3PbI2 (PBE)

Data for a geometry-optimized La3PbI2 structure.

Computed properties:
space group	No. 11
volume	35.83	Å³ per atom
size of the total moment	0.0000	μB/atom
formation energy from raw total energies	-492.1	kJ/mol of formula units

Cell lengths 4.6380, 7.7672, 12.2078 Å; angles 102.16, 90.00, 90.00 degrees
Positions (direct):
La  0.2500  0.1567  0.6573
La  0.7500  0.6274  0.6588
La  0.7500  0.8433  0.3427
La  0.2500  0.2676  0.0030
La  0.2500  0.3726  0.3412
La  0.7500  0.7324  0.9970
I  0.7500  0.2441  0.4945
I  0.7500  0.0333  0.8266
I  0.2500  0.9667  0.1734
I  0.2500  0.7559  0.5055
Pb  0.2500  0.5381  0.8291
Pb  0.7500  0.4619  0.1709